No. 1
{
  "formula": "La3Pm2Sm6Dy",
  "functional": "PBE",
  "state": "optimized geometry",
  "n_ef_per_ev_atom": 1.608,
  "formation_enthalpy_0k_ev_per_atom": 0.017,
  "sg": "C2/m (12)",
  "cell": [[6.337, -0.003, 0.001], [-3.169, 5.487, 0.001], [-1.065, -1.845, 11.930]],
  "species": ["Sm", "Sm", "Sm", "Sm", "Dy", "Pm", "La", "La", "La", "Pm", "Sm", "Sm"],
  "frac_coords": [[0.586, 0.918, 0.754], [0.749, 0.749, 0.246], [0.918, 0.586, 0.754], [0.082, 0.414, 0.246], [0.000, 0.000, 0.000], [0.667, 0.333, 0.000], [0.167, 0.833, 0.500], [0.833, 0.167, 0.500], [0.500, 0.500, 0.500], [0.333, 0.667, 0.000], [0.414, 0.082, 0.246], [0.251, 0.251, 0.754]]
}



No. 2
{
  "formula": "La5Pm2SmDy",
  "functional": "PBE",
  "state": "optimized geometry",
  "n_ef_per_ev_atom": 1.887,
  "formation_enthalpy_0k_ev_per_atom": 0.268,
  "sg": "I4/mcm (140)",
  "cell": [[9.035, 0.000, 0.000], [0.000, 9.035, 0.000], [-4.518, -4.518, 7.886]],
  "species": ["Pm", "La", "La", "La", "Pm", "Sm", "La", "Pm", "Pm", "La", "La", "La", "Sm", "La", "La", "La", "Dy", "Dy"],
  "frac_coords": [[0.884, 0.616, 0.000], [0.068, 0.568, 0.719], [0.568, 0.651, 0.719], [0.000, 0.000, 0.000], [0.616, 0.116, 0.000], [0.750, 0.750, 0.500], [0.432, 0.349, 0.281], [0.116, 0.384, 0.000], [0.384, 0.884, 0.000], [0.849, 0.932, 0.281], [0.932, 0.432, 0.281], [0.349, 0.849, 0.281], [0.250, 0.250, 0.500], [0.651, 0.151, 0.719], [0.500, 0.500, 0.000], [0.151, 0.068, 0.719], [0.750, 0.250, 0.500], [0.250, 0.750, 0.500]]
}



No. 3
{
  "formula": "LaPmSm6Dy2",
  "functional": "PBE",
  "state": "optimized geometry",
  "n_ef_per_ev_atom": 1.490,
  "formation_enthalpy_0k_ev_per_atom": 0.119,
  "sg": "C2/c (15)",
  "cell": [[9.299, -2.066, -2.145], [0.806, 8.663, -2.010], [0.806, -2.330, 8.582]],
  "species": ["Dy", "La", "Sm", "Sm", "Sm", "La", "Sm", "Sm", "Sm", "Pm", "Sm", "Pm", "Sm", "Sm", "Sm", "Dy", "Dy", "Sm", "Dy", "Sm"],
  "frac_coords": [[0.954, 0.706, 0.805], [0.250, 0.406, 0.594], [0.556, 0.755, 0.113], [0.056, 0.113, 0.755], [0.320, 0.978, 0.432], [0.750, 0.594, 0.406], [0.680, 0.022, 0.568], [0.944, 0.887, 0.245], [0.621, 0.489, 0.705], [0.750, 0.030, 0.970], [0.379, 0.511, 0.295], [0.250, 0.970, 0.030], [0.820, 0.432, 0.978], [0.879, 0.295, 0.511], [0.180, 0.568, 0.022], [0.546, 0.195, 0.294], [0.454, 0.805, 0.706], [0.121, 0.705, 0.489], [0.046, 0.294, 0.195], [0.444, 0.245, 0.887]]
}



No. 4
{
  "formula": "La2Pm5SmDy",
  "functional": "PBE",
  "state": "optimized geometry",
  "n_ef_per_ev_atom": 1.533,
  "formation_enthalpy_0k_ev_per_atom": 0.247,
  "sg": "I4/mcm (140)",
  "cell": [[-5.984, -5.598, -3.027], [4.789, -1.224, -7.203], [4.534, -2.780, 8.784]],
  "species": ["Dy", "Pm", "Pm", "Pm", "Sm", "La", "Pm", "Dy", "Pm", "La", "Pm", "Pm", "La", "La", "Pm", "Sm", "Pm", "Pm"],
  "frac_coords": [[0.750, 0.250, 0.500], [0.075, 0.575, 0.714], [0.575, 0.639, 0.714], [0.500, 0.500, 0.000], [0.250, 0.250, 0.500], [0.380, 0.880, 0.000], [0.361, 0.861, 0.286], [0.250, 0.750, 0.500], [0.425, 0.361, 0.286], [0.620, 0.120, 0.000], [0.861, 0.925, 0.286], [0.639, 0.139, 0.714], [0.880, 0.620, 0.000], [0.120, 0.380, 0.000], [0.925, 0.425, 0.286], [0.750, 0.750, 0.500], [0.000, 0.000, 0.000], [0.139, 0.075, 0.714]]
}



No. 5
{
  "formula": "La2Pm6SmDy3",
  "functional": "PBE",
  "state": "optimized geometry",
  "n_ef_per_ev_atom": 1.537,
  "formation_enthalpy_0k_ev_per_atom": 0.019,
  "sg": "C2/m (12)",
  "cell": [[-2.448, -5.383, -2.206], [-0.017, 1.168, 6.203], [-9.781, 6.650, -2.353]],
  "species": ["La", "Dy", "Pm", "Pm", "Pm", "Pm", "Dy", "Dy", "Pm", "Sm", "La", "Pm"],
  "frac_coords": [[0.333, 0.667, 0.000], [0.500, 0.500, 0.500], [0.085, 0.418, 0.255], [0.915, 0.582, 0.745], [0.247, 0.247, 0.745], [0.418, 0.085, 0.255], [0.166, 0.834, 0.500], [0.834, 0.166, 0.500], [0.753, 0.753, 0.255], [0.000, 0.000, 0.000], [0.667, 0.333, 0.000], [0.582, 0.915, 0.745]]
}



No. 6
{
  "formula": "La2Pm2SmDy2",
  "functional": "PBE",
  "state": "optimized geometry",
  "n_ef_per_ev_atom": 1.662,
  "formation_enthalpy_0k_ev_per_atom": 0.024,
  "sg": "C2/m (12)",
  "cell": [[-0.038, -4.840, 1.772], [2.622, 0.636, -5.704], [6.702, 1.561, 4.408]],
  "species": ["La", "Pm", "Pm", "Dy", "La", "Dy", "Sm"],
  "frac_coords": [[0.142, 0.284, 0.426], [0.285, 0.570, 0.860], [0.715, 0.430, 0.140], [0.429, 0.858, 0.284], [0.858, 0.716, 0.574], [0.571, 0.142, 0.716], [0.000, 0.000, 0.000]]
}



No. 7
{
  "formula": "LaPm2SmDy",
  "functional": "PBE",
  "state": "optimized geometry",
  "n_ef_per_ev_atom": 1.411,
  "formation_enthalpy_0k_ev_per_atom": 0.269,
  "sg": "P2/c (13)",
  "cell": [[6.578, 0.000, 0.000], [0.000, 8.483, 1.000], [0.000, -1.431, 6.163]],
  "species": ["La", "Dy", "Dy", "Pm", "Pm", "Pm", "Sm", "La", "Sm", "Pm"],
  "frac_coords": [[0.000, 0.000, 0.000], [0.834, 0.500, 0.250], [0.166, 0.500, 0.750], [0.313, 0.687, 0.286], [0.313, 0.313, 0.214], [0.687, 0.313, 0.714], [0.438, 0.000, 0.750], [0.000, 0.000, 0.500], [0.562, 0.000, 0.250], [0.687, 0.687, 0.786]]
}



No. 8
{
  "formula": "LaPm5SmDy2",
  "functional": "PBE",
  "state": "optimized geometry",
  "n_ef_per_ev_atom": 1.560,
  "formation_enthalpy_0k_ev_per_atom": 0.148,
  "sg": "Cmc2_1 (36)",
  "cell": [[5.724, 0.000, 0.000], [-2.862, 10.140, 0.000], [0.000, 0.000, 10.717]],
  "species": ["La", "Pm", "Pm", "Dy", "Dy", "Sm", "Dy", "La", "Pm", "Pm", "Pm", "Pm", "Pm", "Dy", "Sm", "Pm", "Pm", "Pm"],
  "frac_coords": [[0.583, 0.166, 0.950], [0.719, 0.438, 0.813], [0.612, 0.223, 0.525], [0.116, 0.232, 0.322], [0.884, 0.768, 0.822], [0.799, 0.598, 0.511], [0.113, 0.225, 0.733], [0.417, 0.834, 0.450], [0.017, 0.034, 0.025], [0.521, 0.043, 0.239], [0.388, 0.777, 0.025], [0.983, 0.966, 0.525], [0.281, 0.562, 0.313], [0.887, 0.775, 0.233], [0.201, 0.402, 0.011], [0.296, 0.593, 0.706], [0.479, 0.957, 0.739], [0.704, 0.407, 0.206]]
}